# CaNiSe2O8 | Alexandria via LeMat-Bulk | PBE with a Hubbard U | relaxed
data_CaNiSe2O8
_cell_length_a 4.9349
_cell_length_b 4.9349
_cell_length_c 21.5823
_cell_angle_alpha 90.00
_cell_angle_beta 90.00
_cell_angle_gamma 120.00
_symmetry_space_group_name_H-M 'R -3'
_symmetry_Int_Tables_number 148
_symmetry_space_group_name_Hall '-R 3'
loop_
_atom_site_label
_atom_site_type_symbol
_atom_site_fract_x
_atom_site_fract_y
_atom_site_fract_z
_atom_site_occupancy
Ca1 Ca 0.0000 0.0000 0.0000 1
Ni1 Ni 0.0000 0.0000 0.5000 1
Se1 Se 0.0000 0.0000 0.2461 1
O1 O 0.0000 0.0000 0.3237 1
O2 O 0.0024 0.6738 0.7749 1
# Total DFT energy (no corrections) ... -5.395 eV per atom